# 1
# PBE SrLa3F, optimized geometry
data_SrLa3F
_chemical_formula_sum 'Sr1 La3 F1'
_cell_length_a 5.4139
_cell_length_b 5.4139
_cell_length_c 5.4139
_cell_angle_alpha 90.00
_cell_angle_beta 90.00
_cell_angle_gamma 90.00
_symmetry_space_group_name_H-M 'P 1'
_symmetry_Int_Tables_number 1
_symmetry_space_group_name_Hall 'P 1'
loop_
_atom_site_label
_atom_site_type_symbol
_atom_site_fract_x
_atom_site_fract_y
_atom_site_fract_z
La1 La 0.0000 0.5000 0.0000
La2 La 0.0000 0.0000 0.5000
La3 La 0.5000 0.0000 0.0000
Sr1 Sr 0.5000 0.5000 0.5000
F1 F 0.0000 0.0000 0.0000
# Relative energy among the computed polymorphs   0.000 eV/atom
# E_form (uncorrected)   -0.912 eV/atom
# D(E_F)   4.5 states/eV/cell
# Crystal system   cubic

***

# 2
# PBE Cs2MnZn2Se4, optimized geometry
data_Cs2MnZn2Se4
_chemical_formula_sum 'Cs2 Mn1 Zn2 Se4'
_cell_length_a 4.0798
_cell_length_b 8.3447
_cell_length_c 8.2318
_cell_angle_alpha 106.32
_cell_angle_beta 90.00
_cell_angle_gamma 104.15
_symmetry_space_group_name_H-M 'P 1'
_symmetry_Int_Tables_number 1
_symmetry_space_group_name_Hall 'P 1'
loop_
_atom_site_label
_atom_site_type_symbol
_atom_site_fract_x
_atom_site_fract_y
_atom_site_fract_z
Zn1 Zn 0.6701 0.3402 0.9803
Zn2 Zn 0.3299 0.6598 0.0197
Cs1 Cs 0.8733 0.7466 0.4585
Cs2 Cs 0.1267 0.2534 0.5415
Mn1 Mn 0.0000 0.0000 0.0000
Se1 Se 0.5214 0.0428 0.7969
Se2 Se 0.7937 0.5874 0.8343
Se3 Se 0.2063 0.4126 0.1657
Se4 Se 0.4786 0.9572 0.2031
# E_form (uncorrected)   -0.818 eV/atom
# Crystal system   monoclinic

***

# 3
# PBE Ba4Nd4Zn3PtO15, optimized geometry
data_Ba4Nd4Zn3PtO15
_chemical_formula_sum 'Ba8 Nd8 Zn6 Pt2 O30'
_cell_length_a 6.8681
_cell_length_b 11.8810
_cell_length_c 11.8810
_cell_angle_alpha 120.00
_cell_angle_beta 90.00
_cell_angle_gamma 90.00
_symmetry_space_group_name_H-M 'P 1'
_symmetry_Int_Tables_number 1
_symmetry_space_group_name_Hall 'P 1'
loop_
_atom_site_label
_atom_site_type_symbol
_atom_site_fract_x
_atom_site_fract_y
_atom_site_fract_z
O1 O 0.7001 0.6619 0.6051
O2 O 0.7001 0.9432 0.3381
O3 O 0.4292 0.0835 0.1670
O4 O 0.8443 0.4167 0.8334
O5 O 0.2001 0.3381 0.3949
O6 O 0.4292 0.8330 0.9165
O7 O 0.8443 0.4167 0.5833
O8 O 0.0117 0.7489 0.2511
O9 O 0.5117 0.2511 0.5022
O10 O 0.8443 0.1666 0.5833
O11 O 0.3443 0.5833 0.4167
O12 O 0.2001 0.0568 0.3949
O13 O 0.9292 0.9165 0.8330
O14 O 0.9292 0.9165 0.0835
O15 O 0.2001 0.3381 0.9432
O16 O 0.0117 0.5022 0.2511
O17 O 0.3443 0.8334 0.4167
O18 O 0.0117 0.7489 0.4978
O19 O 0.2001 0.6051 0.6619
O20 O 0.3443 0.5833 0.1666
O21 O 0.4292 0.0835 0.9165
O22 O 0.9292 0.1670 0.0835
O23 O 0.7001 0.3949 0.0568
O24 O 0.2001 0.6051 0.9432
O25 O 0.7001 0.3949 0.3381
O26 O 0.7001 0.6619 0.0568
O27 O 0.7001 0.9432 0.6051
O28 O 0.5117 0.4978 0.7489
O29 O 0.5117 0.2511 0.7489
O30 O 0.2001 0.0568 0.6619
Nd1 Nd 0.4997 0.4770 0.5230
Nd2 Nd 0.4997 0.0460 0.5230
Nd3 Nd 0.9997 0.9540 0.4770
Nd4 Nd 0.6588 0.0000 0.0000
Nd5 Nd 0.1588 0.0000 0.0000
Nd6 Nd 0.9997 0.5230 0.4770
Nd7 Nd 0.9997 0.5230 0.0460
Nd8 Nd 0.4997 0.4770 0.9540
Zn1 Zn 0.3245 0.1713 0.8287
Zn2 Zn 0.8245 0.8287 0.6573
Zn3 Zn 0.3245 0.6573 0.8287
Zn4 Zn 0.8245 0.8287 0.1713
Zn5 Zn 0.8245 0.3427 0.1713
Zn6 Zn 0.3245 0.1713 0.3427
Ba1 Ba 0.8415 0.6538 0.8269
Ba2 Ba 0.3415 0.8269 0.6538
Ba3 Ba 0.3415 0.8269 0.1731
Ba4 Ba 0.6610 0.6667 0.3333
Ba5 Ba 0.3415 0.3462 0.1731
Ba6 Ba 0.1610 0.3333 0.6667
Ba7 Ba 0.8415 0.1731 0.8269
Ba8 Ba 0.8415 0.1731 0.3462
Pt1 Pt 0.1842 0.6667 0.3333
Pt2 Pt 0.6842 0.3333 0.6667
# E_form (uncorrected)   -2.419 eV/atom
# D(E_F)   0.0 states/eV/cell
# Crystal system   hexagonal

***

# 4
# PBE NdGdTmIn, optimized geometry
data_NdGdTmIn
_chemical_formula_sum 'Nd1 Gd1 Tm1 In1'
_cell_length_a 5.4854
_cell_length_b 5.4854
_cell_length_c 5.4854
_cell_angle_alpha 60.00
_cell_angle_beta 60.00
_cell_angle_gamma 60.00
_symmetry_space_group_name_H-M 'P 1'
_symmetry_Int_Tables_number 1
_symmetry_space_group_name_Hall 'P 1'
loop_
_atom_site_label
_atom_site_type_symbol
_atom_site_fract_x
_atom_site_fract_y
_atom_site_fract_z
Gd1 Gd 0.7500 0.7500 0.7500
Nd1 Nd 0.0000 0.0000 0.0000
In1 In 0.2500 0.2500 0.2500
Tm1 Tm 0.5000 0.5000 0.5000
# E_form   -145 meV/atom
# D(E_F)   6.1 states/eV/cell
# Crystal system   cubic

***

# 5
# PBE Mg4NiBr, optimized geometry
data_Mg4NiBr
_chemical_formula_sum 'Mg4 Ni1 Br1'
_cell_length_a 5.7393
_cell_length_b 5.7393
_cell_length_c 5.7393
_cell_angle_alpha 60.00
_cell_angle_beta 60.00
_cell_angle_gamma 60.00
_symmetry_space_group_name_H-M 'P 1'
_symmetry_Int_Tables_number 1
_symmetry_space_group_name_Hall 'P 1'
loop_
_atom_site_label
_atom_site_type_symbol
_atom_site_fract_x
_atom_site_fract_y
_atom_site_fract_z
Mg1 Mg 0.3760 0.3760 0.3760
Mg2 Mg 0.3760 0.3760 0.8720
Mg3 Mg 0.8720 0.3760 0.3760
Mg4 Mg 0.3760 0.8720 0.3760
Ni1 Ni 0.7500 0.7500 0.7500
Br1 Br 0.0000 0.0000 0.0000
# E_form (uncorrected)   0.312 eV/atom
# D(E_F)   4.1 states/eV/cell
# Crystal system   cubic

***

# 6
# PBE TeC5, optimized geometry
data_TeC5
_chemical_formula_sum 'Te1 C5'
_cell_length_a 3.7112
_cell_length_b 3.7112
_cell_length_c 7.4592
_cell_angle_alpha 90.00
_cell_angle_beta 90.00
_cell_angle_gamma 120.00
_symmetry_space_group_name_H-M 'P 1'
_symmetry_Int_Tables_number 1
_symmetry_space_group_name_Hall 'P 1'
loop_
_atom_site_label
_atom_site_type_symbol
_atom_site_fract_x
_atom_site_fract_y
_atom_site_fract_z
C1 C 0.3333 0.6667 0.5000
C2 C 0.5000 0.0000 0.0000
C3 C 0.0000 0.5000 0.0000
C4 C 0.5000 0.5000 0.0000
C5 C 0.6667 0.3333 0.5000
Te1 Te 0.0000 0.0000 0.5000
# Relative energy among the computed polymorphs   2.455 eV/atom
# E_form (uncorrected)   3.587 eV/atom
# D(E_F)   5.1 states/eV/cell
# Crystal system   hexagonal

***

no.,spin magnetization (μB per formula unit)
1,0.000
2,5.000
3,0.000
4,8.278
5,0.000
6,0.110